## AgSbAs2 (meta-GGA SCAN)

Data for a PBEsol-optimized structure of AgSbAs2.

Cell: 2.9270 3.7615 7.6026 Å, 90.00 90.98 90.00°
With the nearest neighbours (Å) after each atom.
Atoms (fractional coordinates):
Ag 0.0000 0.0000 0.0000  4 As 2.90-2.95, 2 Ag 2.93, 4 Sb 3.01-3.06
Sb 0.5074 0.5000 0.7527  2 As 2.89, 2 Sb 2.93, 4 Ag 3.01-3.06
As 0.4935 0.5000 0.2224  4 As 2.63-2.93, 2 Ag 2.90
As 0.4951 0.0000 0.4633  4 As 2.63-2.93, 2 Sb 2.89

Summary:
Calculated total energy = -27.07 eV per atom
E above lowest polymorph = 0 meV per atom
Energy relative to the elements, uncorrected = 0.1868 eV per atom